Density functional theory data (PBE with a Hubbard U) for crystalline NdPuMn2O8 at its relaxed geometry.

Geometry as extended XYZ:
```
12
Lattice="6.042 0.196 0.000 -2.504 5.502 0.000 -1.769 -2.849 5.030" Properties=species:S:1:pos:R:3 pbc="T T T"
Pu -1.252 2.751 2.515
O -0.198 1.705 3.963
Nd 0.000 0.000 0.000
Mn 1.769 2.849 0.000
Mn 3.021 0.098 2.515
O 1.658 -0.392 1.615
O 3.186 -1.341 3.415
O 4.385 0.588 1.615
O 0.154 2.270 1.067
O 3.385 3.428 1.067
O 0.198 -1.705 3.963
O 2.856 1.538 3.415
```

Calculated values
* space group: I-4m2 (119)
* uncorrected energy: -98.405 eV/cell
* N(E_F): 6.3 states/eV per cell